Here is a geometry-optimized SmScAgRh structure from Alexandria. Energies are from PBE-GGA.

**Formation energy**: -0.494 eV/atom
**Space group**: F-43m (216)

Unit cell a=4.9149 b=4.9149 c=4.9149 alpha=60.00 beta=60.00 gamma=60.00
Sites, in units of the cell vectors:
Sm: 0.0000 0.0000 0.0000
Sc: 0.5000 0.5000 0.5000
Ag: 0.2500 0.2500 0.2500
Rh: 0.7500 0.7500 0.7500


Here is a geometry-optimized CsSrSb structure from Alexandria. Energies are from PBE-GGA.

**ΔE_f (raw)**: -0.6043 eV per atom
**Space group**: Pnma (62)

Unit cell a=9.0184 b=5.5007 c=11.8778 alpha=90.00 beta=90.00 gamma=90.00
Sites, in units of the cell vectors:
Cs: 0.1257 0.2500 0.0796
Cs: 0.3743 0.7500 0.5796
Cs: 0.6257 0.2500 0.4204
Cs: 0.8743 0.7500 0.9204
Sr: 0.0093 0.2500 0.6350
Sr: 0.4907 0.7500 0.1350
Sr: 0.5093 0.2500 0.8650
Sr: 0.9907 0.7500 0.3650
Sb: 0.1943 0.2500 0.3922
Sb: 0.3057 0.7500 0.8922
Sb: 0.6943 0.2500 0.1078
Sb: 0.8057 0.7500 0.6078


Here is a geometry-optimized La2NiCl structure from Alexandria. Energies are from PBE-GGA.

**ΔE_f (raw)**: -0.7078 eV per atom
**Space group**: I-42d (122)

Unit cell a=6.7300 b=6.7300 c=6.7300 alpha=113.21 beta=113.21 gamma=102.24
Sites, in units of the cell vectors:
La: 0.0925 0.1250 0.4675
La: 0.3750 0.9075 0.0325
La: 0.6575 0.6250 0.5325
La: 0.8750 0.3425 0.9675
Ni: 0.0000 0.0000 0.0000
Ni: 0.7500 0.2500 0.5000
Cl: 0.2500 0.7500 0.5000
Cl: 0.5000 0.5000 0.0000


Here is a geometry-optimized YCr2Ag structure from Alexandria. Energies are from PBE-GGA.

**Formation energy**: 0.890 eV/atom
**Space group**: P4/mmm (123)

Unit cell a=2.7677 b=2.7677 c=8.8240 alpha=90.00 beta=90.00 gamma=90.00
Sites, in units of the cell vectors:
Y: 0.0000 0.0000 0.0000
Cr: 0.5000 0.5000 0.2690
Cr: 0.5000 0.5000 0.7310
Ag: 0.0000 0.0000 0.5000


Here is a geometry-optimized CoSb2Rh structure from Alexandria. Energies are from PBE-GGA.

**ΔE_f (raw)**: 0.1051 eV per atom
**Space group**: I-42d (122)

Unit cell a=8.6919 b=8.6919 c=8.6919 alpha=150.45 beta=150.45 gamma=42.29
Sites, in units of the cell vectors:
Co: 0.0000 0.0000 0.0000
Co: 0.7500 0.2500 0.5000
Sb: 0.1136 0.6250 0.9886
Sb: 0.3750 0.3636 0.4886
Sb: 0.6364 0.1250 0.0114
Sb: 0.8750 0.8864 0.5114
Rh: 0.2500 0.7500 0.5000
Rh: 0.5000 0.5000 0.0000


Here is a geometry-optimized Cd2AgOs structure from Alexandria. Energies are from PBE-GGA.

**Formation energy**: 0.558 eV/atom
**Space group**: Fm-3m (225)

Unit cell a=4.6673 b=4.6673 c=4.6673 alpha=60.00 beta=60.00 gamma=60.00
Sites, in units of the cell vectors:
Cd: 0.2500 0.2500 0.2500
Cd: 0.7500 0.7500 0.7500
Ag: 0.0000 0.0000 0.0000
Os: 0.5000 0.5000 0.5000


Here is a geometry-optimized TbPuInCu structure from Alexandria. Energies are from PBE-GGA.

**Formation energy**: -0.079 eV/atom
**Space group**: F-43m (216)

Unit cell a=5.1879 b=5.1879 c=5.1879 alpha=60.00 beta=60.00 gamma=60.00
Sites, in units of the cell vectors:
Tb: 0.0000 0.0000 0.0000
Pu: 0.5000 0.5000 0.5000
In: 0.7500 0.7500 0.7500
Cu: 0.2500 0.2500 0.2500


Here is a geometry-optimized ScSb2TeI structure from Alexandria. Energies are from PBE-GGA.

**ΔE_f (raw)**: 0.6525 eV per atom
**Space group**: P4/mmm (123)

Unit cell a=5.7697 b=5.7697 c=5.6534 alpha=90.00 beta=90.00 gamma=90.00
Sites, in units of the cell vectors:
Sc: 0.0000 0.0000 0.0000
Sb: 0.0000 0.5000 0.5000
Sb: 0.5000 0.0000 0.5000
Te: 0.5000 0.5000 0.5000
I: 0.5000 0.5000 0.0000


Number 1: calculated volume 21.0 Å³ per atom. Number 2: calculated volume 49.1 Å³ per atom. Number 3: calculated volume 29.0 Å³ per atom. Number 4: calculated volume 16.9 Å³ per atom. Number 5: calculated volume 19.9 Å³ per atom. Number 6: calculated volume 18.0 Å³ per atom. Number 7: calculated volume 24.7 Å³ per atom. Number 8: calculated volume 37.6 Å³ per atom.